K6NaCd2, optimized geometry, DFT PBE; SG = C2/m, No. 12; VASP energy = -1.04 eV per atom; ρ = 1.87 g/cm³
1.0
7.0145 -3.1150 0.0000
7.0145 3.1150 0.0000
-6.9722 0.0000 9.7959
K Na Cd
6 1 2
Direct
0.0343 0.0343 0.2241
0.3347 0.3347 0.9425
0.3486 0.3486 0.3197
0.6514 0.6514 0.6803
0.6653 0.6653 0.0575
0.9657 0.9657 0.7759
0.0000 0.0000 0.5000
0.2879 0.2879 0.5904
0.7121 0.7121 0.4096